No. 1
The following is a PBE-GGA calculation of a relaxed structure of Sm8YSn6, from Alexandria via LeMat-Bulk.

Unit cell a=9.2195 b=9.2195 c=8.4539 alpha=56.96 beta=56.96 gamma=60.00
Closest atoms and distances in Å follow each position.
Fractional positions:
Sm 0.8957 0.5595 0.3141  5 Sn 3.15-3.39
Sn 0.3971 0.0672 0.7985  7 Sm 3.15-3.39, 1 Y 3.32
Sm 0.6663 0.6663 0.0011  6 Sn 3.36, 6 Sm 3.69
Sm 0.3337 0.3337 0.9989  6 Sn 3.36, 6 Sm 3.69
Sn 0.9328 0.2628 0.2015  7 Sm 3.15-3.39, 1 Y 3.32
Sm 0.2306 0.8957 0.3141  5 Sn 3.15-3.39
Sm 0.5595 0.2306 0.3141  5 Sn 3.15-3.39
Sm 0.1043 0.4405 0.6859  5 Sn 3.15-3.39
Sm 0.4405 0.7694 0.6859  5 Sn 3.15-3.39
Sn 0.7372 0.3971 0.7985  7 Sm 3.15-3.39, 1 Y 3.32
Sn 0.0672 0.7372 0.7985  7 Sm 3.15-3.39, 1 Y 3.32
Sm 0.7694 0.1043 0.6859  5 Sn 3.15-3.39
Y 0.0000 0.0000 0.0000  6 Sn 3.32
Sn 0.6029 0.9328 0.2015  7 Sm 3.15-3.39, 1 Y 3.32
Sn 0.2628 0.6029 0.2015  7 Sm 3.15-3.39, 1 Y 3.32

Results
- Crystal system: trigonal
- Space group: R-3, No. 148
- DFT total energy: -5.1159 eV/atom
- Calculated formation energy: -8.5 eV per formula unit

=====

No. 2
The following is a PBE-GGA calculation of a relaxed structure of SmY3Sn2, from Alexandria via LeMat-Bulk.

Unit cell a=7.4348 b=7.4756 c=8.9652 alpha=114.64 beta=114.50 gamma=90.00
Closest atoms and distances in Å follow each position.
Fractional positions:
Y 0.2141 0.9641 0.4281  4 Sn 3.12-3.17
Sn 0.5438 0.3580 0.7159  6 Y 3.11-3.17, 1 Sm 3.11
Sn 0.4562 0.6420 0.2841  6 Y 3.11-3.17, 1 Sm 3.11
Sn 0.1722 0.8580 0.7159  6 Y 3.11-3.17, 1 Sm 3.11
Sm 0.0000 0.5000 0.0000  2 Sn 3.11
Y 0.2141 0.4641 0.4281  4 Sn 3.12-3.17
Y 0.5000 0.2500 0.0000  4 Sn 3.11
Y 0.5000 0.7500 0.0000  4 Sn 3.11
Sn 0.8278 0.1420 0.2841  6 Y 3.11-3.17, 1 Sm 3.11
Y 0.7859 0.5359 0.5719  4 Sn 3.12-3.17
Sm 0.0000 0.0000 0.0000  2 Sn 3.11
Y 0.7859 0.0359 0.5719  4 Sn 3.12-3.17

Results
- Crystal system: orthorhombic
- Space group: Ibam, No. 72
- DFT total energy: -5.7020 eV/atom
- Calculated formation energy: -2.1 eV per formula unit